This record from Alexandria describes an optimized crystal structure of TbSeBr. The functional is PBE.

Geometry as POSCAR:
```
TbSeBr
1.0
4.178 0.000 0.000
-2.089 3.618 0.000
0.000 0.000 6.831
Tb Se Br
1 1 1
direct
0.000 0.000 0.000 Tb
0.667 0.333 0.202 Se
0.333 0.667 0.739 Br
```

M_tot in μB per formula unit: 0.00
Formation energy (no corrections) in eV/atom: -1.83